Material: Li2TcP2
Method: DFT, PBE
State: relaxed

Unit cell a=6.0991 b=6.0991 c=3.6860 alpha=90.00 beta=90.00 gamma=90.00
Last column: nearest neighbours and their distance in Å.
Space group P4/mbm (No. 127)
Asymmetric unit:
Li 0.1728 0.3272 0.0000 [4 per cell]  6 P 2.49-2.63
Tc 0.0000 0.0000 0.5000 [2 per cell]  4 P 2.38
P 0.1332 0.6332 0.5000 [4 per cell]  1 P 2.30, 2 Tc 2.38, 2 Li 2.49

Computed properties:
Energy of formation   -50.54 kJ/mol of atoms

Material: Tb3Dy3In2
Method: DFT, PBE
State: relaxed

Unit cell a=4.8516 b=4.8527 c=9.7089 alpha=90.00 beta=90.00 gamma=90.00
Last column: nearest neighbours and their distance in Å.
Space group Pmmm (No. 47)
Asymmetric unit:
Tb 0.0000 0.0000 0.0000 [1 per cell]  4 Tb 3.43, 4 Dy 3.43, 4 In 3.44
Tb 0.0000 0.0000 0.5000 [1 per cell]  4 In 3.43, 8 Dy 3.43
Tb 0.5000 0.5000 0.0000 [1 per cell]  4 Tb 3.43, 4 Dy 3.43, 4 In 3.44
Dy 0.0000 0.5000 0.2502 [2 per cell]  2 Dy 3.43, 6 Tb 3.43, 4 In 3.43
Dy 0.5000 0.5000 0.5000 [1 per cell]  4 In 3.43, 4 Dy 3.43, 4 Tb 3.43
In 0.5000 0.0000 0.2505 [2 per cell]  6 Tb 3.43-3.44, 6 Dy 3.43

Computed properties:
Relative energy among the computed polymorphs   0.0 kJ per mole of atoms
Energy of formation   -25.83 kJ/mol of atoms

no.,raw total energy (eV per atom)
1,-5.527
2,-4.414